First-principles (PBE) data for BaPrZn4 after structural relaxation, as listed in OQMD via LeMat-Bulk.

As for the calculated total energy: -2.191 eV/atom. The space-group type is Imm2, No. 44.

Cell: 4.6561 7.8327 7.8510 Å, 90.00 90.00 90.00°
With the nearest neighbours (Å) after each atom.
Positions (direct):
Ba 0.0000 0.0000 0.0000  12 Zn 3.22-3.54
Ba 0.5000 0.5000 0.5000  12 Zn 3.22-3.54
Pr 0.0000 0.5000 0.0779  12 Zn 3.13-3.46
Pr 0.5000 0.0000 0.5779  12 Zn 3.13-3.46
Zn 0.0000 0.1802 0.3814  4 Zn 2.68-2.82
Zn 0.0000 0.2950 0.7143  3 Zn 2.68-2.76
Zn 0.0000 0.7050 0.7143  3 Zn 2.68-2.76
Zn 0.0000 0.8198 0.3814  4 Zn 2.68-2.82
Zn 0.5000 0.2050 0.2143  3 Zn 2.68-2.76
Zn 0.5000 0.3198 0.8814  4 Zn 2.68-2.82
Zn 0.5000 0.6802 0.8814  4 Zn 2.68-2.82
Zn 0.5000 0.7950 0.2143  3 Zn 2.68-2.76

First-principles (PBE) data for TcSnNO after structural relaxation, as listed in OQMD via LeMat-Bulk.

The distance to the lowest polymorph of the same formula comes out at 0.217 eV/atom. The space-group type is Pmc2_1, No. 26.

Cell: 3.2460 6.6631 5.9753 Å, 90.00 90.00 90.00°
With the nearest neighbours (Å) after each atom.
Positions (direct):
Tc 0.0000 0.1618 0.0000  2 O 1.88-1.92, 2 N 1.90
Tc 0.0000 0.8382 0.5000  2 O 1.88-1.92, 2 N 1.90
Sn 0.5000 0.3784 0.5094  2 N 2.35-2.43
Sn 0.5000 0.6216 0.0094  2 N 2.35-2.43
N 0.5000 0.2819 0.9007  2 Tc 1.90
N 0.5000 0.7181 0.4007  2 Tc 1.90
O 0.0000 0.0583 0.2919  2 Tc 1.88-1.92
O 0.0000 0.9417 0.7919  2 Tc 1.88-1.92

First-principles (PBE) data for P2WAu2 after structural relaxation, as listed in OQMD via LeMat-Bulk.

As for the calculated total energy: -5.644 eV/atom. The space-group type is P-3m1, No. 164.

Cell: 3.9781 3.9781 6.3049 Å, 90.00 90.00 120.00°
With the nearest neighbours (Å) after each atom.
Positions (direct):
P 0.3333 0.6667 0.1683  3 W 2.53, 3 Au 2.59
P 0.6667 0.3333 0.8317  3 W 2.53, 3 Au 2.59
W 0.0000 0.0000 0.0000  6 P 2.53
Au 0.3333 0.6667 0.6401  3 P 2.59, 3 Au 2.90
Au 0.6667 0.3333 0.3599  3 P 2.59, 3 Au 2.90

First-principles (PBE) data for SrLuAgTeS2 after structural relaxation, as listed in OQMD via LeMat-Bulk.

As for the calculated total energy: -4.796 eV/atom. The space-group type is Cmcm, No. 63.

Cell: 7.5097 7.5097 10.9264 Å, 90.00 90.00 148.80°
With the nearest neighbours (Å) after each atom.
Positions (direct):
Sr 0.2067 0.7933 0.7500  4 S 3.12, 2 Te 3.29, 2 Ag 3.44
Sr 0.7933 0.2067 0.2500  4 S 3.12, 2 Te 3.29, 2 Ag 3.44
Lu 0.0000 0.0000 0.0000  4 S 2.75
Lu 0.0000 0.0000 0.5000  4 S 2.75
Ag 0.4855 0.5145 0.2500  2 S 2.51, 2 Te 2.74
Ag 0.5145 0.4855 0.7500  2 S 2.51, 2 Te 2.74
Te 0.1135 0.8865 0.2500  2 Ag 2.74
Te 0.8865 0.1135 0.7500  2 Ag 2.74
S 0.3813 0.6187 0.0657  1 Ag 2.51, 2 Lu 2.75
S 0.3813 0.6187 0.4343  1 Ag 2.51, 2 Lu 2.75
S 0.6187 0.3813 0.5657  1 Ag 2.51, 2 Lu 2.75
S 0.6187 0.3813 0.9343  1 Ag 2.51, 2 Lu 2.75

First-principles (PBE) data for Pr2BiIO4 after structural relaxation, as listed in OQMD via LeMat-Bulk.

As for the calculated total energy: -6.648 eV/atom. The space-group type is P4/mmm, No. 123.

Cell: 4.0872 4.0872 9.5344 Å, 90.00 90.00 90.00°
With the nearest neighbours (Å) after each atom.
Positions (direct):
Pr 0.0000 0.0000 0.2430  4 O 2.28
Pr 0.0000 0.0000 0.7570  4 O 2.28
Bi 0.5000 0.5000 0.5000  8 O 2.50
I 0.5000 0.5000 0.0000  8 Pr 3.70, 8 O 3.90, 4 I 4.09
O 0.0000 0.5000 0.3485  2 Pr 2.28, 2 Bi 2.50
O 0.0000 0.5000 0.6515  2 Pr 2.28, 2 Bi 2.50
O 0.5000 0.0000 0.3485  2 Pr 2.28, 2 Bi 2.50
O 0.5000 0.0000 0.6515  2 Pr 2.28, 2 Bi 2.50

First-principles (PBE) data for RbZrAuSe3 after structural relaxation, as listed in OQMD via LeMat-Bulk.

As for the calculated total energy: -4.879 eV/atom. The space-group type is Cmcm, No. 63.

Cell: 7.9991 7.9991 10.4172 Å, 90.00 90.00 151.23°
With the nearest neighbours (Å) after each atom.
Positions (direct):
Rb 0.2458 0.7542 0.7500  8 Se 3.49-3.60, 2 Au 3.70
Rb 0.7542 0.2458 0.2500  8 Se 3.49-3.60, 2 Au 3.70
Zr 0.0000 0.0000 0.0000  6 Se 2.77-2.82
Zr 0.0000 0.0000 0.5000  6 Se 2.77-2.82
Au 0.4556 0.5444 0.2500  4 Se 2.55-2.66
Au 0.5444 0.4556 0.7500  4 Se 2.55-2.66
Se 0.0693 0.9307 0.2500  2 Au 2.66, 2 Zr 2.82
Se 0.3780 0.6220 0.0337  1 Au 2.55, 2 Zr 2.77
Se 0.3780 0.6220 0.4663  1 Au 2.55, 2 Zr 2.77
Se 0.6220 0.3780 0.5337  1 Au 2.55, 2 Zr 2.77
Se 0.6220 0.3780 0.9663  1 Au 2.55, 2 Zr 2.77
Se 0.9307 0.0693 0.7500  2 Au 2.66, 2 Zr 2.82

First-principles (PBE) data for CdPtSO after structural relaxation, as listed in OQMD via LeMat-Bulk.

The distance to the lowest polymorph of the same formula comes out at 0.082 eV/atom. The space-group type is Pbca, No. 61.

Cell: 6.3971 14.0385 6.4964 Å, 90.00 90.00 90.00°
With the nearest neighbours (Å) after each atom.
Positions (direct):
Cd 0.0465 0.2240 0.1518  3 O 2.11-2.16
Cd 0.0465 0.2760 0.6518  3 O 2.11-2.16
Cd 0.4535 0.7240 0.1518  3 O 2.11-2.16
Cd 0.4535 0.7760 0.6518  3 O 2.11-2.16
Cd 0.5465 0.2240 0.3482  3 O 2.11-2.16
Cd 0.5465 0.2760 0.8482  3 O 2.11-2.16
Cd 0.9535 0.7240 0.3482  3 O 2.11-2.16
Cd 0.9535 0.7760 0.8482  3 O 2.11-2.16
Pt 0.2500 0.0448 0.0107  4 S 2.36-2.38
Pt 0.2500 0.4552 0.5107  4 S 2.36-2.38
Pt 0.2500 0.5448 0.0107  4 S 2.36-2.38
Pt 0.2500 0.9552 0.5107  4 S 2.36-2.38
Pt 0.7500 0.0448 0.4893  4 S 2.36-2.38
Pt 0.7500 0.4552 0.9893  4 S 2.36-2.38
Pt 0.7500 0.5448 0.4893  4 S 2.36-2.38
Pt 0.7500 0.9552 0.9893  4 S 2.36-2.38
S 0.0002 0.0107 0.7508  4 Pt 2.36-2.38
S 0.0002 0.4893 0.2508  4 Pt 2.36-2.38
S 0.9998 0.5107 0.7492  4 Pt 2.36-2.38
S 0.9998 0.9893 0.2492  4 Pt 2.36-2.38
S 0.5002 0.0107 0.7492  4 Pt 2.36-2.38
S 0.5002 0.4893 0.2492  4 Pt 2.36-2.38
S 0.4998 0.5107 0.7508  4 Pt 2.36-2.38
S 0.4998 0.9893 0.2508  4 Pt 2.36-2.38
O 0.2290 0.2011 0.4229  3 Cd 2.11-2.16
O 0.2290 0.2989 0.9229  3 Cd 2.11-2.16
O 0.2710 0.7011 0.4229  3 Cd 2.11-2.16
O 0.2710 0.7989 0.9229  3 Cd 2.11-2.16
O 0.7290 0.2011 0.0771  3 Cd 2.11-2.16
O 0.7290 0.2989 0.5771  3 Cd 2.11-2.16
O 0.7710 0.7011 0.0771  3 Cd 2.11-2.16
O 0.7710 0.7989 0.5771  3 Cd 2.11-2.16

First-principles (PBE) data for LaTmAsO after structural relaxation, as listed in OQMD via LeMat-Bulk.

The distance to the lowest polymorph of the same formula comes out at 0.017 eV/atom. The space-group type is P4/nmm, No. 129.

Cell: 4.4264 4.4264 9.1274 Å, 90.00 90.00 90.00°
With the nearest neighbours (Å) after each atom.
Positions (direct):
La 0.2500 0.2500 0.1133  4 O 2.44
La 0.7500 0.7500 0.8867  4 O 2.44
Tm 0.2500 0.7500 0.5000  4 As 2.81, 4 Tm 3.13
Tm 0.7500 0.2500 0.5000  4 As 2.81, 4 Tm 3.13
As 0.2500 0.2500 0.6890  4 Tm 2.81
As 0.7500 0.7500 0.3110  4 Tm 2.81
O 0.2500 0.7500 0.0000  4 La 2.44
O 0.7500 0.2500 0.0000  4 La 2.44

First-principles (PBE) data for ZnAsOsO after structural relaxation, as listed in OQMD via LeMat-Bulk.

The distance to the lowest polymorph of the same formula comes out at 0.058 eV/atom. The space-group type is P4/nmm, No. 129.

Cell: 3.9329 3.9329 8.8870 Å, 90.00 90.00 90.00°
With the nearest neighbours (Å) after each atom.
Positions (direct):
Zn 0.2500 0.2500 0.0291  4 O 1.98
Zn 0.7500 0.7500 0.9709  4 O 1.98
As 0.2500 0.2500 0.6742  4 Os 2.50
As 0.7500 0.7500 0.3258  4 Os 2.50
Os 0.2500 0.7500 0.5000  4 As 2.50, 4 Os 2.78
Os 0.7500 0.2500 0.5000  4 As 2.50, 4 Os 2.78
O 0.2500 0.7500 0.0000  4 Zn 1.98
O 0.7500 0.2500 0.0000  4 Zn 1.98

First-principles (PBE) data for DyCdNO after structural relaxation, as listed in OQMD via LeMat-Bulk.

The distance to the lowest polymorph of the same formula comes out at 0.204 eV/atom. The space-group type is P4/nmm, No. 129.

Cell: 3.8510 3.8510 8.0293 Å, 90.00 90.00 90.00°
With the nearest neighbours (Å) after each atom.
Positions (direct):
Dy 0.2500 0.2500 0.1381  4 O 2.22
Dy 0.7500 0.7500 0.8619  4 O 2.22
Cd 0.2500 0.7500 0.5000  4 N 2.40
Cd 0.7500 0.2500 0.5000  4 N 2.40
N 0.2500 0.2500 0.6791  4 Cd 2.40
N 0.7500 0.7500 0.3209  4 Cd 2.40
O 0.2500 0.7500 0.0000  4 Dy 2.22
O 0.7500 0.2500 0.0000  4 Dy 2.22

First-principles (PBE) data for GdTlCdTe3 after structural relaxation, as listed in OQMD via LeMat-Bulk.

The distance to the lowest polymorph of the same formula comes out at 0.001 eV/atom. The space-group type is Pnma, No. 62.

Cell: 11.7487 4.4839 15.3814 Å, 90.00 90.00 90.00°
With the nearest neighbours (Å) after each atom.
Positions (direct):
Gd 0.0093 0.2500 0.2482  6 Te 3.14-3.20
Gd 0.4907 0.7500 0.7482  6 Te 3.14-3.20
Gd 0.5093 0.2500 0.2518  6 Te 3.14-3.20
Gd 0.9907 0.7500 0.7518  6 Te 3.14-3.20
Tl 0.2381 0.7500 0.5110  7 Te 3.56-3.82, 2 Cd 3.86
Tl 0.2619 0.2500 0.0110  7 Te 3.56-3.82, 2 Cd 3.86
Tl 0.7381 0.7500 0.9890  7 Te 3.56-3.82, 2 Cd 3.86
Tl 0.7619 0.2500 0.4890  7 Te 3.56-3.82, 2 Cd 3.86
Cd 0.2428 0.2500 0.7152  4 Te 2.82-2.87
Cd 0.2572 0.7500 0.2152  4 Te 2.82-2.87
Cd 0.7428 0.2500 0.7848  4 Te 2.82-2.87
Cd 0.7572 0.7500 0.2848  4 Te 2.82-2.87
Te 0.0423 0.2500 0.6141  1 Cd 2.82, 2 Gd 3.14
Te 0.0603 0.7500 0.1107  1 Cd 2.82, 2 Gd 3.14
Te 0.2415 0.7500 0.8319  2 Cd 2.87, 2 Gd 3.19-3.20
Te 0.2585 0.2500 0.3319  2 Cd 2.87, 2 Gd 3.19-3.20
Te 0.4397 0.2500 0.6107  1 Cd 2.82, 2 Gd 3.14
Te 0.4577 0.7500 0.1141  1 Cd 2.82, 2 Gd 3.14
Te 0.5423 0.2500 0.8859  1 Cd 2.82, 2 Gd 3.14
Te 0.5603 0.7500 0.3893  1 Cd 2.82, 2 Gd 3.14
Te 0.7415 0.7500 0.6681  2 Cd 2.87, 2 Gd 3.19-3.20
Te 0.7585 0.2500 0.1681  2 Cd 2.87, 2 Gd 3.19-3.20
Te 0.9397 0.2500 0.8893  1 Cd 2.82, 2 Gd 3.14
Te 0.9577 0.7500 0.3859  1 Cd 2.82, 2 Gd 3.14

First-principles (PBE) data for Zr2CuC after structural relaxation, as listed in OQMD via LeMat-Bulk.

As for the calculated total energy: -7.905 eV/atom. The space-group type is C2/c, No. 15.

Cell: 5.7648 5.7648 14.1409 Å, 101.93 101.93 59.58°
With the nearest neighbours (Å) after each atom.
Positions (direct):
Zr 0.0276 0.8749 0.6007  3 C 2.32-2.39
Zr 0.1251 0.9724 0.8993  3 C 2.32-2.39
Zr 0.1948 0.3638 0.0905  3 C 2.27-2.33
Zr 0.2979 0.4745 0.4103  3 C 2.27-2.31
Zr 0.3638 0.1948 0.5905  3 C 2.27-2.33
Zr 0.4745 0.2979 0.9103  3 C 2.27-2.31
Zr 0.5255 0.7021 0.0897  3 C 2.27-2.31
Zr 0.6362 0.8052 0.4095  3 C 2.27-2.33
Zr 0.7021 0.5255 0.5897  3 C 2.27-2.31
Zr 0.8052 0.6362 0.9095  3 C 2.27-2.33
Zr 0.8749 0.0276 0.1007  3 C 2.32-2.39
Zr 0.9724 0.1251 0.3993  3 C 2.32-2.39
Cu 0.1022 0.3215 0.7497  1 Cu 2.45, 1 Zr 2.74
Cu 0.3215 0.1022 0.2497  1 Cu 2.45, 1 Zr 2.74
Cu 0.3222 0.6778 0.2500  2 Cu 2.45
Cu 0.6778 0.3222 0.7500  2 Cu 2.45
Cu 0.6785 0.8978 0.7503  1 Cu 2.45, 1 Zr 2.74
Cu 0.8978 0.6785 0.2503  1 Cu 2.45, 1 Zr 2.74
C 0.0000 0.5000 0.5000  6 Zr 2.27-2.39
C 0.1632 0.6722 0.9986  6 Zr 2.27-2.35
C 0.3278 0.8368 0.5014  6 Zr 2.27-2.35
C 0.5000 0.0000 0.0000  6 Zr 2.27-2.39
C 0.6722 0.1632 0.4986  6 Zr 2.27-2.35
C 0.8368 0.3278 0.0014  6 Zr 2.27-2.35